Entry 1:
A relaxed LiCu2GeI6 crystal. Source: the Alexandria database, functional GGA-PBE.

Values from the calculation:
E_form (uncorrected) ... -35.64 kJ per mole of atoms

The structure in CIF format:
```
data_LiCu2GeI6
_chemical_formula_sum 'Li2 Cu4 Ge2 I12'
_space_group_name_H-M_alt 'P 1'
_space_group_IT_number 1
_space_group_name_Hall 'P 1'
_cell_length_a 7.435
_cell_length_b 9.534
_cell_length_c 9.534
_cell_angle_alpha 85.04
_cell_angle_beta 81.54
_cell_angle_gamma 81.54
loop_
_atom_site_label
_atom_site_fract_x
_atom_site_fract_y
_atom_site_fract_z
_atom_site_occupancy
Ge1 0.250 0.898 0.102 1
Ge2 0.750 0.102 0.898 1
Cu1 0.679 0.598 0.769 1
Cu2 0.179 0.769 0.598 1
Cu3 0.321 0.402 0.231 1
Cu4 0.821 0.231 0.402 1
I1 0.132 0.968 0.785 1
I2 0.868 0.032 0.215 1
I3 0.130 0.294 0.451 1
I4 0.870 0.706 0.549 1
I5 0.632 0.785 0.968 1
I6 0.630 0.451 0.294 1
I7 0.624 0.126 0.626 1
I8 0.370 0.549 0.706 1
I9 0.376 0.874 0.374 1
I10 0.368 0.215 0.032 1
I11 0.124 0.626 0.126 1
I12 0.876 0.374 0.874 1
Li1 0.250 0.267 0.733 1
Li2 0.750 0.733 0.267 1
```

=====

Entry 2:
A relaxed CuGeIN2 crystal. Source: the Alexandria database, functional GGA-PBE.

Values from the calculation:
E_form (uncorrected) ... 155.90 kJ per mole of atoms
Polymorph energy (0 for the lowest one) ... 477 meV per atom

The structure in CIF format:
```
data_CuGeIN2
_chemical_formula_sum 'Cu1 Ge1 I1 N2'
_space_group_name_H-M_alt 'P 1'
_space_group_IT_number 1
_space_group_name_Hall 'P 1'
_cell_length_a 4.022
_cell_length_b 4.022
_cell_length_c 5.779
_cell_angle_alpha 90.00
_cell_angle_beta 90.00
_cell_angle_gamma 90.00
loop_
_atom_site_label
_atom_site_fract_x
_atom_site_fract_y
_atom_site_fract_z
_atom_site_occupancy
Cu1 0.000 0.000 0.000 1
Ge1 0.500 0.500 0.500 1
N1 0.000 0.500 0.000 1
N2 0.500 0.000 0.000 1
I1 0.000 0.000 0.500 1
```

=====

Entry 3:
A relaxed CuGeIN2 crystal. Source: the Alexandria database, functional GGA-PBE.

Values from the calculation:
E_form (uncorrected) ... 109.85 kJ per mole of atoms
Polymorph energy (0 for the lowest one) ... 0 meV per atom

The structure in CIF format:
```
data_CuGeIN2
_chemical_formula_sum 'Cu1 Ge1 I1 N2'
_space_group_name_H-M_alt 'P 1'
_space_group_IT_number 1
_space_group_name_Hall 'P 1'
_cell_length_a 3.709
_cell_length_b 3.709
_cell_length_c 7.356
_cell_angle_alpha 90.00
_cell_angle_beta 90.00
_cell_angle_gamma 90.00
loop_
_atom_site_label
_atom_site_fract_x
_atom_site_fract_y
_atom_site_fract_z
_atom_site_occupancy
N1 0.500 0.000 0.000 1
N2 0.000 0.500 0.000 1
Cu1 0.500 0.500 0.500 1
Ge1 0.000 0.000 0.000 1
I1 0.000 0.000 0.500 1
```

=====

Entry 4:
A relaxed NaCu2GeI6 crystal. Source: the Alexandria database, functional GGA-PBE.

Values from the calculation:
E_form (uncorrected) ... -35.75 kJ per mole of atoms

The structure in CIF format:
```
data_NaCu2GeI6
_chemical_formula_sum 'Na2 Cu4 Ge2 I12'
_space_group_name_H-M_alt 'P 1'
_space_group_IT_number 1
_space_group_name_Hall 'P 1'
_cell_length_a 7.527
_cell_length_b 9.684
_cell_length_c 9.684
_cell_angle_alpha 87.82
_cell_angle_beta 83.16
_cell_angle_gamma 83.16
loop_
_atom_site_label
_atom_site_fract_x
_atom_site_fract_y
_atom_site_fract_z
_atom_site_occupancy
I1 0.110 0.616 0.137 1
I2 0.643 0.777 0.974 1
I3 0.857 0.026 0.223 1
I4 0.890 0.384 0.863 1
I5 0.378 0.555 0.713 1
I6 0.878 0.713 0.555 1
I7 0.622 0.445 0.287 1
I8 0.357 0.223 0.026 1
I9 0.143 0.974 0.777 1
I10 0.122 0.287 0.445 1
I11 0.390 0.863 0.384 1
I12 0.610 0.137 0.616 1
Cu1 0.802 0.232 0.402 1
Cu2 0.302 0.402 0.232 1
Cu3 0.198 0.768 0.598 1
Cu4 0.698 0.598 0.768 1
Na1 0.750 0.089 0.911 1
Na2 0.250 0.911 0.089 1
Ge1 0.250 0.268 0.732 1
Ge2 0.750 0.732 0.268 1
```

=====

Entry 5:
A relaxed CuGeIO6 crystal. Source: the Alexandria database, functional GGA-PBE.

Values from the calculation:
E_form (uncorrected) ... -61.85 kJ per mole of atoms

The structure in CIF format:
```
data_CuGeIO6
_chemical_formula_sum 'Cu2 Ge2 I2 O12'
_space_group_name_H-M_alt 'P 1'
_space_group_IT_number 1
_space_group_name_Hall 'P 1'
_cell_length_a 5.088
_cell_length_b 5.088
_cell_length_c 9.366
_cell_angle_alpha 90.00
_cell_angle_beta 90.00
_cell_angle_gamma 120.00
loop_
_atom_site_label
_atom_site_fract_x
_atom_site_fract_y
_atom_site_fract_z
_atom_site_occupancy
O1 0.639 0.642 0.136 1
O2 0.996 0.639 0.864 1
O3 0.642 0.004 0.864 1
O4 0.642 0.639 0.636 1
O5 0.361 0.004 0.636 1
O6 0.996 0.358 0.636 1
O7 0.004 0.361 0.136 1
O8 0.361 0.358 0.864 1
O9 0.358 0.361 0.364 1
O10 0.639 0.996 0.364 1
O11 0.358 0.996 0.136 1
O12 0.004 0.642 0.364 1
I1 0.333 0.667 0.750 1
I2 0.667 0.333 0.250 1
Cu1 0.000 0.000 0.500 1
Cu2 0.000 0.000 0.000 1
Ge1 0.667 0.333 0.750 1
Ge2 0.333 0.667 0.250 1
```

=====

Entry 6:
A relaxed Pm8CuGe3I4 crystal. Source: the Alexandria database, functional GGA-PBE.

Values from the calculation:
E_form (uncorrected) ... -84.67 kJ per mole of atoms

The structure in CIF format:
```
data_Pm8CuGe3I4
_chemical_formula_sum 'Pm8 Cu1 Ge3 I4'
_space_group_name_H-M_alt 'P 1'
_space_group_IT_number 1
_space_group_name_Hall 'P 1'
_cell_length_a 8.641
_cell_length_b 9.063
_cell_length_c 8.641
_cell_angle_alpha 118.47
_cell_angle_beta 120.00
_cell_angle_gamma 90.00
loop_
_atom_site_label
_atom_site_fract_x
_atom_site_fract_y
_atom_site_fract_z
_atom_site_occupancy
Ge1 0.500 0.500 0.000 1
Ge2 0.500 0.500 0.500 1
Ge3 0.000 0.500 0.500 1
Pm1 0.739 0.700 0.970 1
Pm2 0.231 0.700 0.970 1
Pm3 0.261 0.300 0.030 1
Pm4 0.769 0.300 0.030 1
Pm5 0.769 0.300 0.538 1
Pm6 0.266 0.299 0.533 1
Pm7 0.734 0.701 0.467 1
Pm8 0.231 0.700 0.462 1
Cu1 0.000 0.500 0.000 1
I1 0.500 0.000 0.000 1
I2 0.500 0.000 0.500 1
I3 0.000 0.000 0.000 1
I4 0.000 0.000 0.500 1
```

=====

Entry 7:
A relaxed Rb3Cu2GeI9 crystal. Source: the Alexandria database, functional GGA-PBE.

Values from the calculation:
E_form (uncorrected) ... -62.27 kJ per mole of atoms

The structure in CIF format:
```
data_Rb3Cu2GeI9
_chemical_formula_sum 'Rb3 Cu2 Ge1 I9'
_space_group_name_H-M_alt 'P 1'
_space_group_IT_number 1
_space_group_name_Hall 'P 1'
_cell_length_a 8.076
_cell_length_b 8.076
_cell_length_c 9.943
_cell_angle_alpha 90.00
_cell_angle_beta 90.00
_cell_angle_gamma 120.00
loop_
_atom_site_label
_atom_site_fract_x
_atom_site_fract_y
_atom_site_fract_z
_atom_site_occupancy
Rb1 0.333 0.667 0.669 1
Rb2 0.000 0.000 0.000 1
Rb3 0.667 0.333 0.331 1
I1 0.660 0.830 0.329 1
I2 0.170 0.340 0.329 1
I3 0.000 0.500 0.000 1
I4 0.170 0.830 0.329 1
I5 0.830 0.660 0.671 1
I6 0.830 0.170 0.671 1
I7 0.500 0.500 0.000 1
I8 0.340 0.170 0.671 1
I9 0.500 0.000 0.000 1
Cu1 0.333 0.667 0.157 1
Cu2 0.667 0.333 0.843 1
Ge1 0.000 0.000 0.500 1
```

=====

Entry 8:
A relaxed RbCu4Ge3I12 crystal. Source: the Alexandria database, functional GGA-PBE.

Values from the calculation:
E_form (uncorrected) ... -27.73 kJ per mole of atoms

The structure in CIF format:
```
data_RbCu4Ge3I12
_chemical_formula_sum 'Rb1 Cu4 Ge3 I12'
_space_group_name_H-M_alt 'P 1'
_space_group_IT_number 1
_space_group_name_Hall 'P 1'
_cell_length_a 9.821
_cell_length_b 9.821
_cell_length_c 9.821
_cell_angle_alpha 106.02
_cell_angle_beta 106.02
_cell_angle_gamma 106.02
loop_
_atom_site_label
_atom_site_fract_x
_atom_site_fract_y
_atom_site_fract_z
_atom_site_occupancy
I1 0.339 0.661 0.500 1
I2 0.359 0.982 0.249 1
I3 0.751 0.018 0.641 1
I4 0.500 0.339 0.661 1
I5 0.500 0.085 0.915 1
I6 0.249 0.359 0.982 1
I7 0.915 0.500 0.085 1
I8 0.641 0.751 0.018 1
I9 0.018 0.641 0.751 1
I10 0.661 0.500 0.339 1
I11 0.085 0.915 0.500 1
I12 0.982 0.249 0.359 1
Ge1 0.566 0.434 0.000 1
Ge2 0.000 0.566 0.434 1
Ge3 0.434 0.000 0.566 1
Cu1 0.500 0.920 0.080 1
Cu2 0.080 0.500 0.920 1
Cu3 0.920 0.080 0.500 1
Cu4 0.500 0.500 0.500 1
Rb1 0.000 0.000 0.000 1
```

=====

Entry 9:
A relaxed Cu5GeSe4I2 crystal. Source: the Alexandria database, functional GGA-PBE.

Values from the calculation:
E_form (uncorrected) ... -15.57 kJ per mole of atoms

The structure in CIF format:
```
data_Cu5GeSe4I2
_chemical_formula_sum 'Cu5 Ge1 Se4 I2'
_space_group_name_H-M_alt 'P 1'
_space_group_IT_number 1
_space_group_name_Hall 'P 1'
_cell_length_a 5.975
_cell_length_b 7.897
_cell_length_c 7.798
_cell_angle_alpha 90.00
_cell_angle_beta 90.00
_cell_angle_gamma 112.23
loop_
_atom_site_label
_atom_site_fract_x
_atom_site_fract_y
_atom_site_fract_z
_atom_site_occupancy
Ge1 0.399 0.000 0.000 1
I1 0.968 0.707 0.500 1
I2 0.261 0.293 0.500 1
Cu1 0.844 0.811 0.207 1
Cu2 0.844 0.811 0.793 1
Cu3 0.033 0.189 0.793 1
Cu4 0.376 0.000 0.500 1
Cu5 0.033 0.189 0.207 1
Se1 0.337 0.286 0.000 1
Se2 0.629 0.000 0.258 1
Se3 0.629 0.000 0.742 1
Se4 0.051 0.714 0.000 1
```

=====

Entry 10:
A relaxed Ta2CuGeI crystal. Source: the Alexandria database, functional GGA-PBE.

Values from the calculation:
E_form (uncorrected) ... 152.70 kJ per mole of atoms

The structure in CIF format:
```
data_Ta2CuGeI
_chemical_formula_sum 'Ta2 Cu1 Ge1 I1'
_space_group_name_H-M_alt 'P 1'
_space_group_IT_number 1
_space_group_name_Hall 'P 1'
_cell_length_a 4.860
_cell_length_b 4.803
_cell_length_c 4.860
_cell_angle_alpha 90.00
_cell_angle_beta 90.00
_cell_angle_gamma 90.00
loop_
_atom_site_label
_atom_site_fract_x
_atom_site_fract_y
_atom_site_fract_z
_atom_site_occupancy
Ta1 0.500 0.000 0.000 1
Ta2 0.000 0.000 0.500 1
Ge1 0.500 0.500 0.500 1
I1 0.000 0.500 0.000 1
Cu1 0.000 0.000 0.000 1
```

=====

Entry 11:
A relaxed CuGeTe2I crystal. Source: the Alexandria database, functional GGA-PBE.

Values from the calculation:
E_form (uncorrected) ... 67.38 kJ per mole of atoms
Polymorph energy (0 for the lowest one) ... 259 meV per atom

The structure in CIF format:
```
data_CuGeTe2I
_chemical_formula_sum 'Cu1 Ge1 Te2 I1'
_space_group_name_H-M_alt 'P 1'
_space_group_IT_number 1
_space_group_name_Hall 'P 1'
_cell_length_a 5.430
_cell_length_b 5.430
_cell_length_c 5.699
_cell_angle_alpha 90.00
_cell_angle_beta 90.00
_cell_angle_gamma 90.00
loop_
_atom_site_label
_atom_site_fract_x
_atom_site_fract_y
_atom_site_fract_z
_atom_site_occupancy
Te1 0.500 0.000 0.000 1
Te2 0.000 0.500 0.000 1
Cu1 0.500 0.500 0.500 1
I1 0.000 0.000 0.500 1
Ge1 0.000 0.000 0.000 1
```

=====

Entry 12:
A relaxed CuGeTeI2 crystal. Source: the Alexandria database, functional GGA-PBE.

Values from the calculation:
E_form (uncorrected) ... 55.59 kJ per mole of atoms
Polymorph energy (0 for the lowest one) ... 186 meV per atom

The structure in CIF format:
```
data_CuGeTeI2
_chemical_formula_sum 'Cu1 Ge1 Te1 I2'
_space_group_name_H-M_alt 'P 1'
_space_group_IT_number 1
_space_group_name_Hall 'P 1'
_cell_length_a 5.692
_cell_length_b 5.692
_cell_length_c 5.527
_cell_angle_alpha 90.00
_cell_angle_beta 90.00
_cell_angle_gamma 90.00
loop_
_atom_site_label
_atom_site_fract_x
_atom_site_fract_y
_atom_site_fract_z
_atom_site_occupancy
I1 0.000 0.500 0.000 1
I2 0.500 0.000 0.000 1
Cu1 0.500 0.500 0.500 1
Ge1 0.000 0.000 0.000 1
Te1 0.000 0.000 0.500 1
```

=====

Which value of E_form (uncorrected) does entry 7 give? -62.27 kJ per mole of atoms